(1)
# Zr2TaSi PBE relaxed
data_Zr2TaSi
_chemical_formula_sum 'Zr4 Ta2 Si2'
_symmetry_space_group_name_H-M 'I 4/m m m'
_symmetry_Int_Tables_number 139
_symmetry_space_group_name_Hall '-I 4 2'
_cell_length_a 4.191
_cell_length_b 4.191
_cell_length_c 8.739
_cell_angle_alpha 90.00
_cell_angle_beta 90.00
_cell_angle_gamma 90.00
loop_
_atom_site_label
_atom_site_type_symbol
_atom_site_fract_x
_atom_site_fract_y
_atom_site_fract_z
Zr1 Zr 0.000 0.500 0.250
Ta1 Ta 0.000 0.000 0.000
Si1 Si 0.000 0.000 0.500
# Theoretical density in g/cm³: 8.47
# M_tot in Bohr magnetons per cell: 0.00
# Raw formation energy in meV per atom: -133

(2)
# ScSCl PBE relaxed
data_ScSCl
_chemical_formula_sum 'Sc2 S2 Cl2'
_symmetry_space_group_name_H-M 'P -1'
_symmetry_Int_Tables_number 2
_cell_length_a 3.732
_cell_length_b 6.518
_cell_length_c 7.442
_cell_angle_alpha 64.57
_cell_angle_beta 75.86
_cell_angle_gamma 89.98
loop_
_symmetry_equiv_pos_as_xyz
'x,y,z'
'-x,-y,-z'
loop_
_atom_site_label
_atom_site_type_symbol
_atom_site_fract_x
_atom_site_fract_y
_atom_site_fract_z
Sc1 Sc 0.245 0.221 0.010
S1 S 0.357 0.026 0.782
Cl1 Cl 0.147 0.477 0.213
# Theoretical density in g/cm³: 2.37
# M_tot in Bohr magnetons per cell: 0.00
# Raw formation energy in meV per atom: -1960